Entry 1:
First-principles (PBE-GGA) data for a geometry-optimized Al2Fe3Si structure, as listed in Alexandria via LeMat-Bulk.

Output
Symmetry: P-3m1, No. 164
ΔE_f (raw) in eV/atom: -0.4179
D(E_F) in states/eV/atom: 0.924
Density in Mg/m³: 6.120
Electronic total energy in eV per atom: -6.8006

Cell: 3.993 3.993 4.905 Å, 90.00 90.00 120.00°
Each line ends with the local moment (μB).
Positions (direct):
1 Al 0.667 0.333 0.342  -0.01
2 Al 0.333 0.667 0.658  -0.01
3 Fe 0.000 0.000 0.500  0.33
4 Fe 0.667 0.333 0.846  0.51
5 Fe 0.333 0.667 0.154  0.51
6 Si 0.000 0.000 0.000  -0.03



Entry 2:
First-principles (PBE-GGA) data for a geometry-optimized Al3Fe4Si structure, as listed in Alexandria via LeMat-Bulk.

Output
Symmetry: P4/mmm, No. 123
ΔE_f (raw) in eV/atom: -0.3930
D(E_F) in states/eV/atom: 1.162
Density in Mg/m³: 6.015
Electronic total energy in eV per atom: -6.7057

Cell: 2.833 2.833 11.432 Å, 90.00 90.00 90.00°
Each line ends with the local moment (μB).
Positions (direct):
1 Si 0.500 0.500 0.000  -0.02
2 Al 0.500 0.500 0.245  -0.02
3 Al 0.500 0.500 0.500  -0.03
4 Al 0.500 0.500 0.755  -0.02
5 Fe 0.000 0.000 0.886  0.27
6 Fe 0.000 0.000 0.114  0.27
7 Fe 0.000 0.000 0.373  0.79
8 Fe 0.000 0.000 0.627  0.79



Entry 3:
First-principles (PBE-GGA) data for a geometry-optimized Al2Fe3Si3 structure, as listed in Alexandria via LeMat-Bulk.

Output
Symmetry: P-1, No. 2
ΔE_f (raw) in eV/atom: -0.2698
D(E_F) in states/eV/atom: 0.499
Relative energy among the computed polymorphs in eV per formula unit: 1.698
Density in Mg/m³: 5.077
Electronic total energy in eV per atom: -6.4126

Cell: 6.973 6.962 4.525 Å, 73.17 75.37 75.93°
Each line ends with the local moment (μB).
Positions (direct):
1 Si 0.329 0.667 0.712  -0.02
2 Si 0.671 0.333 0.288  -0.02
3 Si 0.041 0.709 0.130  0.00
4 Si 0.959 0.291 0.870  0.00
5 Si 0.246 0.921 0.208  -0.03
6 Si 0.754 0.079 0.792  -0.03
7 Fe 0.522 0.878 0.785  1.28
8 Fe 0.478 0.122 0.215  1.28
9 Fe 0.362 0.550 0.259  0.16
10 Fe 0.638 0.450 0.741  0.16
11 Fe 0.123 0.997 0.704  0.53
12 Fe 0.877 0.003 0.296  0.53
13 Al 0.353 0.248 0.720  -0.02
14 Al 0.647 0.752 0.280  -0.02
15 Al 0.128 0.317 0.281  -0.01
16 Al 0.872 0.683 0.719  -0.01



Entry 4:
First-principles (PBE-GGA) data for a geometry-optimized AlFeSi structure, as listed in Alexandria via LeMat-Bulk.

Output
Symmetry: I4mm, No. 107
ΔE_f (raw) in eV/atom: -0.3481
D(E_F) in states/eV/atom: 0.221
Density in Mg/m³: 4.987
Electronic total energy in eV per atom: -6.2242

Cell: 4.469 4.469 3.075 Å, 69.88 69.87 40.25°
Each line ends with the local moment (μB).
Positions (direct):
1 Si 0.680 0.680 0.320  -0.01
2 Fe 0.323 0.323 0.677  1.08
3 Al 0.997 0.997 0.003  -0.02